Record 1
First-principles (PBE-GGA) data for an optimized crystal structure of SnSb2Pd, as listed in the Alexandria database.

```
SnSb2Pd
1.0
-4.795 -2.226 -3.528
-3.065 -1.766 5.280
-6.739 3.647 1.133
Pd Sn Sb
2 2 4
Direct
0.500 0.500 0.000
0.250 0.750 0.500
0.750 0.250 0.500
0.000 0.000 0.000
0.583 0.125 0.250
0.875 0.833 0.750
0.167 0.625 0.250
0.375 0.417 0.750
```

## Properties
Space-group type: No. 122
Uncorrected formation energy: -0.3 eV/f.u.
DOS(E_F): 2.84 states/eV per cell
M_tot: 0.00 μB/cell


Record 2
First-principles (PBE-GGA) data for an optimized crystal structure of YHS2, as listed in the Alexandria database.

```
YHS2
1.0
-1.005 3.678 6.513
1.649 5.408 5.000
-1.663 6.125 4.084
S H Y
2 1 1
Direct
0.118 0.118 0.118
0.882 0.882 0.882
0.500 0.500 0.500
0.000 0.000 0.000
```

## Properties
Space-group type: No. 166
DOS(E_F): 4.39 states/eV per cell
Total energy: -0.289 Ry/atom
M_tot: 0.00 μB/cell


Record 3
First-principles (PBE-GGA) data for an optimized crystal structure of Ce3Nd4S8, as listed in the Alexandria database.

```
Ce3Nd4S8
1.0
-1.902 5.014 6.056
-5.248 -1.214 -6.046
0.339 -7.983 1.312
S Nd Ce
8 4 3
Direct
0.500 0.251 0.251
0.000 0.250 0.750
0.500 0.251 0.749
0.000 0.750 0.250
0.500 0.749 0.749
0.500 0.749 0.251
0.997 0.748 0.748
0.003 0.252 0.252
0.000 0.500 0.000
0.000 0.000 0.000
0.500 0.000 0.000
0.000 0.000 0.500
0.500 0.500 0.000
0.500 0.000 0.500
0.500 0.500 0.500
```

## Properties
Space-group type: No. 12
Uncorrected formation energy: -30.5 eV/f.u.
DOS(E_F): 18.64 states/eV per cell
M_tot: 3.26 μB/cell


Record 4
First-principles (PBE-GGA) data for an optimized crystal structure of BeSbS2, as listed in the Alexandria database.

```
BeSbS2
1.0
6.027 0.000 0.000
0.000 6.027 0.000
3.014 3.014 4.490
Be S Sb
2 4 2
Direct
0.500 0.500 0.000
0.250 0.750 0.500
0.875 0.780 0.750
0.530 0.125 0.250
0.220 0.625 0.250
0.375 0.470 0.750
0.000 0.000 0.000
0.750 0.250 0.500
```

## Properties
Space-group type: No. 122
Uncorrected formation energy: -1.2 eV/f.u.
DOS(E_F): 2.72 states/eV per cell
M_tot: 0.00 μB/cell


Record 5
First-principles (PBE-GGA) data for an optimized crystal structure of Zn2MoCl, as listed in the Alexandria database.

```
Zn2MoCl
1.0
2.920 0.000 0.000
0.000 2.920 0.000
0.000 0.000 8.222
Zn Cl Mo
2 1 1
Direct
0.000 0.000 0.980
0.500 0.500 0.199
0.000 0.000 0.565
0.500 0.500 0.756
```

## Properties
Space-group type: No. 99
Uncorrected formation energy: 0.8 eV/f.u.
DOS(E_F): 3.14 states/eV per cell
M_tot: 0.33 μB/cell


Record 6
First-principles (PBE-GGA) data for an optimized crystal structure of La7Y4Tm, as listed in the Alexandria database.

```
La7Y4Tm
1.0
7.077 1.787 0.957
5.322 7.485 3.322
-1.383 0.329 9.736
Tm La Y
1 7 4
Direct
0.000 0.000 0.000
0.944 0.556 0.667
0.744 0.500 0.001
0.195 0.055 0.666
0.056 0.444 0.333
0.805 0.945 0.334
0.256 0.500 0.999
0.500 0.000 0.000
0.551 0.449 0.334
0.705 0.054 0.669
0.449 0.551 0.666
0.295 0.946 0.331
```

## Properties
Space-group type: No. 2
DOS(E_F): 18.28 states/eV per cell
Total energy: -0.396 Ry/atom
M_tot: 0.00 μB/cell


Record 7
First-principles (PBE-GGA) data for an optimized crystal structure of PuThSnAu, as listed in the Alexandria database.

```
PuThSnAu
1.0
5.334 0.000 0.000
2.667 4.619 0.000
2.667 1.540 4.355
Sn Au Th Pu
1 1 1 1
Direct
0.250 0.250 0.250
0.750 0.750 0.750
0.500 0.500 0.500
0.000 0.000 0.000
```

## Properties
Space-group type: No. 216
DOS(E_F): 10.25 states/eV per cell
Total energy: -0.564 Ry/atom
M_tot: 6.97 μB/cell


Record 8
First-principles (PBE-GGA) data for an optimized crystal structure of Ca2HAu, as listed in the Alexandria database.

```
Ca2HAu
1.0
3.887 0.000 0.000
1.943 3.366 0.000
1.943 1.122 6.840
Au Ca H
1 2 1
Direct
0.000 0.000 0.000
0.238 0.238 0.287
0.762 0.762 0.713
0.500 0.500 0.500
```

## Properties
Space-group type: No. 166
DOS(E_F): 2.86 states/eV per cell
Total energy: -0.228 Ry/atom
M_tot: 0.00 μB/cell


Record 9
First-principles (PBE-GGA) data for an optimized crystal structure of K2PuSeO6, as listed in the Alexandria database.

```
K2PuSeO6
1.0
5.764 0.000 0.000
0.000 5.764 0.000
2.883 2.883 4.857
K Pu Se O
2 1 1 6
Direct
0.750 0.250 0.500
0.250 0.750 0.500
0.000 0.000 0.000
0.500 0.500 0.000
0.193 0.193 0.614
0.738 0.738 0.000
0.807 0.807 0.386
0.738 0.262 0.000
0.262 0.738 0.000
0.262 0.262 0.000
```

## Properties
Space-group type: No. 139
Uncorrected formation energy: -17.4 eV/f.u.
DOS(E_F): 2.56 states/eV per cell
M_tot: 1.33 μB/cell


Record 10
First-principles (PBE-GGA) data for an optimized crystal structure of Sr2CdPb, as listed in the Alexandria database.

```
Sr2CdPb
1.0
-5.115 0.024 1.830
1.430 -3.338 4.040
0.493 7.102 9.347
Sr Cd Pb
4 2 2
Direct
0.375 0.374 0.750
0.626 0.125 0.250
0.875 0.876 0.750
0.124 0.625 0.250
0.500 0.500 0.000
0.250 0.750 0.500
0.000 0.000 0.000
0.750 0.250 0.500
```

## Properties
Space-group type: No. 122
DOS(E_F): 10.32 states/eV per cell
Total energy: -0.145 Ry/atom
M_tot: 0.00 μB/cell


Record 11
First-principles (PBE-GGA) data for an optimized crystal structure of YRhPb2, as listed in the Alexandria database.

```
YRhPb2
1.0
-1.071 -0.631 -3.243
2.308 -2.582 -0.260
-5.713 -5.401 2.939
Pb Rh Y
2 1 1
Direct
0.000 0.000 0.989
0.500 0.500 0.300
0.000 0.000 0.515
0.500 0.500 0.696
```

## Properties
Space-group type: No. 99
DOS(E_F): 3.60 states/eV per cell
Total energy: -0.412 Ry/atom
M_tot: 0.00 μB/cell


Record 12
First-principles (PBE-GGA) data for an optimized crystal structure of Sr2TePt, as listed in the Alexandria database.

```
Sr2TePt
1.0
0.000 3.883 3.883
3.883 0.000 3.883
3.883 3.883 0.000
Sr Te Pt
2 1 1
Direct
0.250 0.250 0.250
0.750 0.750 0.750
0.000 0.000 0.000
0.500 0.500 0.500
```

## Properties
Space-group type: No. 225
Uncorrected formation energy: -4.2 eV/f.u.
DOS(E_F): 0.00 states/eV per cell
M_tot: 0.00 μB/cell